(1)
Density functional theory data (PBE) for an optimized crystal structure of Tc2AuSO.

Unit cell a=4.556 b=3.648 c=4.556 alpha=90.00 beta=90.00 gamma=90.00
Positions (direct):
Tc 0.000 0.000 0.500
Tc 0.500 0.000 0.000
S 0.000 0.000 0.000
O 0.000 0.500 0.000
Au 0.500 0.500 0.500

Energy relative to the elements, uncorrected, eV/atom: 0.696



(2)
Density functional theory data (PBE) for an optimized crystal structure of Ca3AgGe.

Unit cell a=5.657 b=5.657 c=5.657 alpha=90.00 beta=90.00 gamma=90.00
Positions (direct):
Ge 0.000 0.000 0.000
Ca 0.000 0.500 0.000
Ca 0.500 0.000 0.000
Ca 0.000 0.000 0.500
Ag 0.500 0.500 0.500

Energy above the most stable polymorph in this dataset, eV per atom: 0.257
Energy relative to the elements, eV per atom: -0.1489



(3)
Density functional theory data (PBE) for an optimized crystal structure of ZrCu2P.

Unit cell a=4.393 b=4.393 c=4.393 alpha=120.04 beta=120.04 gamma=89.94
Positions (direct):
P 0.500 0.500 0.000
Cu 0.000 0.000 0.000
Cu 0.250 0.750 0.500
Zr 0.750 0.250 0.500

Energy relative to the elements, eV per atom: -0.1854



(4)
Density functional theory data (PBE) for an optimized crystal structure of Tb5Y3Sc.

Unit cell a=9.119 b=9.119 c=9.504 alpha=118.67 beta=118.67 gamma=90.00
Positions (direct):
Tb 0.167 0.065 0.733
Tb 0.500 0.500 0.000
Tb 0.935 0.435 0.267
Tb 0.565 0.667 0.733
Tb 0.833 0.935 0.267
Tb 0.667 0.167 0.733
Tb 0.065 0.565 0.733
Tb 0.000 0.000 0.000
Tb 0.333 0.833 0.267
Tb 0.435 0.333 0.267
Y 0.750 0.750 0.500
Y 0.250 0.250 0.500
Y 0.388 0.888 0.000
Y 0.112 0.388 0.000
Y 0.612 0.112 0.000
Y 0.888 0.612 0.000
Sc 0.750 0.250 0.500
Sc 0.250 0.750 0.500

Energy relative to the elements, eV per atom: 0.3218